## Tb6Nd2Y3Tm (PBE-GGA)

Data for a geometry-optimized Tb6Nd2Y3Tm structure.

Properties
* formation enthalpy at 0 K: 0.017 eV/atom
* calculated total energy: -60.98 eV for the cell shown
* M_tot: 0.00 μB per atom

abc: 6.1935 6.1935 11.8664
angles: 94.97 94.97 119.97
Closest atoms and distances in Å follow each position.
Element x y z (fractional)
1 Tb 0.0841 0.4162 0.7512  6 Tb 3.56-3.58, 3 Y 3.56-3.57, 1 Tm 3.59, 2 Nd 3.59
2 Tb 0.2480 0.2480 0.2485  3 Y 3.56-3.57, 6 Tb 3.56-3.58, 1 Tm 3.59, 2 Nd 3.59
3 Tb 0.4162 0.0841 0.7512  6 Tb 3.56-3.58, 3 Y 3.56-3.57, 1 Tm 3.59, 2 Nd 3.59
4 Tb 0.5838 0.9159 0.2488  6 Tb 3.56-3.58, 3 Y 3.56-3.57, 1 Tm 3.59, 2 Nd 3.59
5 Tb 0.7520 0.7520 0.7515  3 Y 3.56-3.57, 6 Tb 3.56-3.58, 1 Tm 3.59, 2 Nd 3.59
6 Tb 0.9159 0.5838 0.2488  6 Tb 3.56-3.58, 3 Y 3.56-3.57, 1 Tm 3.59, 2 Nd 3.59
7 Nd 0.3335 0.6665 0.5000  3 Nd 3.57-3.58, 3 Tm 3.58, 6 Tb 3.59
8 Nd 0.6665 0.3335 0.5000  3 Nd 3.57-3.58, 3 Tm 3.58, 6 Tb 3.59
9 Y 0.1663 0.8337 0.0000  6 Tb 3.56-3.57, 6 Y 3.57-3.58
10 Y 0.5000 0.5000 0.0000  6 Tb 3.56-3.57, 6 Y 3.58
11 Y 0.8337 0.1663 0.0000  6 Tb 3.56-3.57, 6 Y 3.57-3.58
12 Tm 0.0000 0.0000 0.5000  6 Nd 3.58, 6 Tb 3.59


## FeB2Ru2 (PBE-GGA)

Data for a geometry-optimized FeB2Ru2 structure.

Properties
* formation enthalpy at 0 K: -0.141 eV/atom
* calculated total energy: -82.15 eV for the cell shown
* M_tot: 0.64 μB per atom

abc: 6.0064 6.0064 2.8336
angles: 90.00 90.00 90.00
Closest atoms and distances in Å follow each position.
Element x y z (fractional)
1 Fe 0.0000 0.0000 0.0000  4 B 2.34
2 Fe 0.5000 0.5000 0.0000  4 B 2.34
3 B 0.1346 0.3654 0.0000  6 Ru 2.25-2.27, 1 B 2.29, 2 Fe 2.34
4 B 0.3654 0.8654 0.0000  6 Ru 2.25-2.27, 1 B 2.29, 2 Fe 2.34
5 B 0.6346 0.1346 0.0000  6 Ru 2.25-2.27, 1 B 2.29, 2 Fe 2.34
6 B 0.8654 0.6346 0.0000  6 Ru 2.25-2.27, 1 B 2.29, 2 Fe 2.34
7 Ru 0.1594 0.6594 0.5000  6 B 2.25-2.27
8 Ru 0.3406 0.1594 0.5000  6 B 2.25-2.27
9 Ru 0.6594 0.8406 0.5000  6 B 2.25-2.27
10 Ru 0.8406 0.3406 0.5000  6 B 2.25-2.27